[1]
Here is crystalline NdCuSn2Pt4 at its relaxed geometry from Alexandria. Energies are from PBE.

Results
* symmetry: No. 166
* formation energy: -0.62 eV/atom
* mass density: 13.165 g/cm3
* density of states at the Fermi level: 3.30 states/eV/f.u.
* raw total energy: -5.746 eV/atom

Cell: 9.284 9.284 9.284 Å, 27.89 27.89 27.89°
Element x y z (fractional)
Nd: 0.000 0.000 0.000
Cu: 0.500 0.500 0.500
Sn: 0.241 0.241 0.241
Sn: 0.759 0.759 0.759
Pt: 0.137 0.137 0.137
Pt: 0.401 0.401 0.401
Pt: 0.599 0.599 0.599
Pt: 0.863 0.863 0.863



[2]
Here is crystalline Li2InSi at its relaxed geometry from Alexandria. Energies are from PBE.

Results
* formation energy from raw total energies: -0.14 eV per atom
* symmetry: No. 10
* mass density: 3.782 g/cm3
* density of states at the Fermi level: 1.19 states/eV/f.u.
* raw total energy: -3.141 eV/atom

Cell: 4.055 4.013 4.230 Å, 90.00 90.10 90.00°
Element x y z (fractional)
Li: 0.000 0.000 0.000
Li: 0.500 0.500 0.000
In: 0.000 0.500 0.500
Si: 0.500 0.000 0.500



[3]
Here is crystalline Eu2MgPd at its relaxed geometry from Alexandria. Energies are from PBE.

Results
* symmetry: No. 166
* formation energy: -0.09 eV/atom
* mass density: 5.015 g/cm3
* E above lowest polymorph: 283 meV/atom
* density of states at the Fermi level: 21.91 states/eV/f.u.
* raw total energy: -6.919 eV/atom

Cell: 10.846 10.846 10.846 Å, 21.03 21.03 21.03°
Element x y z (fractional)
Eu: 0.110 0.110 0.110
Eu: 0.890 0.890 0.890
Mg: 0.000 0.000 0.000
Pd: 0.500 0.500 0.500



[4]
Here is crystalline TlIr2Cl at its relaxed geometry from Alexandria. Energies are from PBE.

Results
* formation energy from raw total energies: 1.06 eV per atom
* symmetry: No. 139
* mass density: 14.635 g/cm3
* E above lowest polymorph: 755 meV/atom
* density of states at the Fermi level: 6.91 states/eV/f.u.
* raw total energy: -4.423 eV/atom

Cell: 5.060 5.060 5.060 Å, 131.66 131.66 70.77°
Element x y z (fractional)
Tl: 0.000 0.000 0.000
Ir: 0.250 0.750 0.500
Ir: 0.750 0.250 0.500
Cl: 0.500 0.500 0.000



[5]
Here is crystalline PmNdSmDy3 at its relaxed geometry from Alexandria. Energies are from PBE.

Results
* symmetry: No. 12
* formation energy: 0.18 eV/atom
* mass density: 7.716 g/cm3
* density of states at the Fermi level: 8.83 states/eV/f.u.
* raw total energy: -4.493 eV/atom

Cell: 10.409 10.409 7.044 Å, 90.02 90.02 31.52°
Element x y z (fractional)
Pm: 0.148 0.148 0.035
Pm: 0.852 0.852 0.965
Nd: 0.445 0.445 0.749
Nd: 0.555 0.555 0.251
Sm: 0.148 0.148 0.463
Sm: 0.852 0.852 0.537
Dy: 0.023 0.023 0.749
Dy: 0.279 0.279 0.751
Dy: 0.334 0.334 0.252
Dy: 0.666 0.666 0.748
Dy: 0.721 0.721 0.249
Dy: 0.977 0.977 0.251



[6]
Here is crystalline PaV2Sn at its relaxed geometry from Alexandria. Energies are from PBE.

Results
* symmetry: No. 225
* formation energy: -0.01 eV/atom
* mass density: 10.402 g/cm3
* E above lowest polymorph: 2 meV/atom
* density of states at the Fermi level: 5.05 states/eV/f.u.
* raw total energy: -7.947 eV/atom

Cell: 4.672 4.672 4.672 Å, 60.00 60.00 60.00°
Element x y z (fractional)
Pa: 0.000 0.000 0.000
V: 0.250 0.250 0.250
V: 0.750 0.750 0.750
Sn: 0.500 0.500 0.500



[7]
Here is crystalline LaZn2GePt at its relaxed geometry from Alexandria. Energies are from PBE.

Results
* symmetry: No. 44
* formation energy: -0.65 eV/atom
* mass density: 9.066 g/cm3
* density of states at the Fermi level: 2.58 states/eV/f.u.
* raw total energy: -4.279 eV/atom

Cell: 6.059 6.059 6.059 Å, 138.25 137.79 60.88°
Element x y z (fractional)
La: 0.000 0.000 0.000
Zn: 0.376 0.376 0.000
Zn: 0.750 0.250 0.500
Ge: 0.614 0.614 0.000
Pt: 0.241 0.741 0.500



[8]
Here is crystalline CdAg4Sn2 at its relaxed geometry from Alexandria. Energies are from PBE.

Results
* symmetry: No. 1
* formation energy: 0.07 eV/atom
* mass density: 8.549 g/cm3
* E above lowest polymorph: 0 meV/atom
* density of states at the Fermi level: 2.53 states/eV/f.u.
* raw total energy: -2.832 eV/atom

Cell: 7.332 7.332 7.333 Å, 109.15 109.63 109.63°
Element x y z (fractional)
Cd: 0.000 0.000 0.000
Cd: 0.499 0.250 0.749
Ag: 0.074 0.196 0.445
Ag: 0.249 0.878 0.803
Ag: 0.251 0.878 0.303
Ag: 0.424 0.372 0.121
Ag: 0.575 0.697 0.948
Ag: 0.748 0.051 0.627
Ag: 0.750 0.554 0.629
Ag: 0.924 0.370 0.121
Sn: 0.122 0.498 0.873
Sn: 0.374 0.624 0.501
Sn: 0.623 0.126 0.249
Sn: 0.876 0.750 0.374



[9]
Here is crystalline K2SeCl at its relaxed geometry from Alexandria. Energies are from PBE.

Results
* formation energy from raw total energies: -1.27 eV per atom
* symmetry: No. 47
* mass density: 2.803 g/cm3
* E above lowest polymorph: 0 meV/atom
* density of states at the Fermi level: 0.93 states/eV/f.u.
* raw total energy: -3.153 eV/atom

Cell: 3.498 3.875 8.417 Å, 90.00 90.00 90.00°
Element x y z (fractional)
K: 0.000 0.000 0.229
K: 0.000 0.000 0.771
Se: 0.500 0.500 0.500
Cl: 0.500 0.500 0.000



[10]
Here is crystalline CdHg2Ru at its relaxed geometry from Alexandria. Energies are from PBE.

Results
* symmetry: No. 99
* formation energy: 0.36 eV/atom
* mass density: 12.447 g/cm3
* density of states at the Fermi level: 3.15 states/eV/f.u.
* raw total energy: -2.341 eV/atom

Cell: 3.039 3.039 8.879 Å, 90.00 90.00 90.00°
Element x y z (fractional)
Cd: 0.000 0.000 0.000
Hg: 0.000 0.000 0.571
Hg: 0.500 0.500 0.280
Ru: 0.500 0.500 0.788



[11]
Here is crystalline Cs6RbBr at its relaxed geometry from Alexandria. Energies are from PBE.

Results
* formation energy from raw total energies: -0.41 eV per atom
* symmetry: No. 12
* mass density: 2.039 g/cm3
* density of states at the Fermi level: 7.72 states/eV/f.u.
* raw total energy: -1.381 eV/atom

Cell: 9.392 9.392 9.375 Å, 100.06 100.06 99.93°
Element x y z (fractional)
Cs: 0.084 0.720 0.720
Cs: 0.278 0.278 0.914
Cs: 0.280 0.916 0.280
Cs: 0.720 0.084 0.720
Cs: 0.722 0.722 0.086
Cs: 0.916 0.280 0.280
Rb: 0.500 0.500 0.500
Br: 0.000 0.000 0.000



[12]
Here is crystalline LiAlPtRh at its relaxed geometry from Alexandria. Energies are from PBE.

Results
* symmetry: No. 216
* formation energy: -0.89 eV/atom
* mass density: 10.458 g/cm3
* density of states at the Fermi level: 1.90 states/eV/f.u.
* raw total energy: -5.650 eV/atom

Cell: 4.208 4.208 4.208 Å, 60.00 60.00 60.00°
Element x y z (fractional)
Li: 0.000 0.000 0.000
Al: 0.500 0.500 0.500
Pt: 0.250 0.250 0.250
Rh: 0.750 0.750 0.750